Computed, not measured: crystalline Ba2LaTl at its relaxed geometry at the GGA-PBEsol level of DFT.

Calculated volume in Å³ per cell: 166
Crystal system: tetragonal
E_form in eV per atom: -0.1721

Unit cell a=4.1002 b=4.1002 c=9.8824 alpha=90.00 beta=90.00 gamma=90.00
Last column: nearest neighbours and their distance in Å.
Sites, in units of the cell vectors:
Tl  0.5000  0.5000  0.7184  4 La 3.32, 4 Ba 3.63
Ba  0.0000  0.0000  0.9396  4 Tl 3.63, 1 La 3.79
Ba  0.5000  0.5000  0.2864  4 La 3.94, 4 Ba 4.10, 1 Tl 4.27
La  0.0000  0.0000  0.5556  4 Tl 3.32

***

Computed, not measured: crystalline BaLaTl2 at its relaxed geometry at the GGA-PBEsol level of DFT.

Calculated volume in Å³ per cell: 139
Crystal system: tetragonal
E_form in eV per atom: -0.1472

Unit cell a=4.3865 b=4.3865 c=7.2124 alpha=90.00 beta=90.00 gamma=90.00
Last column: nearest neighbours and their distance in Å.
Sites, in units of the cell vectors:
Tl  0.0000  0.0000  0.9834  4 La 3.35, 2 Ba 3.51-3.71, 4 Tl 3.61
Tl  0.5000  0.5000  0.2405  1 La 3.13
Ba  0.0000  0.0000  0.4696  6 Tl 3.51-3.71
La  0.5000  0.5000  0.8066  5 Tl 3.13-3.35

***

Computed, not measured: crystalline BaLaTl at its relaxed geometry at the GGA-PBEsol level of DFT.

Calculated volume in Å³ per cell: 107
Crystal system: orthorhombic
Energy above the most stable polymorph in this dataset in meV/atom: 101
E_form in eV per atom: -0.2209

Unit cell a=3.7703 b=4.7055 c=6.7588 alpha=110.37 beta=106.20 gamma=90.00
Last column: nearest neighbours and their distance in Å.
Sites, in units of the cell vectors:
Tl  0.3169  0.3169  0.6339  4 La 3.31, 4 Ba 3.60
Ba  0.9799  0.9799  0.9598  1 La 3.35, 4 Tl 3.60
La  0.7032  0.7032  0.4063  4 Tl 3.31, 1 Ba 3.35

***

Computed, not measured: crystalline BaLaTl2 at its relaxed geometry at the GGA-PBEsol level of DFT.

Calculated volume in Å³ per cell: 142
Crystal system: trigonal
E_form in eV per atom: -0.2346

Unit cell a=3.9862 b=3.9862 c=10.5415 alpha=79.10 beta=79.10 gamma=60.00
Last column: nearest neighbours and their distance in Å.
Sites, in units of the cell vectors:
Tl  0.2545  0.2545  0.2365  3 La 3.35, 3 Ba 3.56
Tl  0.7455  0.7455  0.7635  3 La 3.35, 3 Ba 3.56
Ba  0.5000  0.5000  0.5000  6 Tl 3.56
La  0.0000  0.0000  0.0000  6 Tl 3.35

***

Computed, not measured: crystalline BaLaTl at its relaxed geometry at the GGA-PBEsol level of DFT.

Calculated volume in Å³ per cell: 449
Crystal system: orthorhombic
Energy above the most stable polymorph in this dataset in meV/atom: 0
E_form in eV per atom: -0.3214

Unit cell a=5.4119 b=8.7616 c=9.4797 alpha=90.00 beta=90.00 gamma=90.00
Last column: nearest neighbours and their distance in Å.
Sites, in units of the cell vectors:
Tl  0.7500  0.2136  0.5987  4 La 3.21-3.26, 1 Ba 3.56
Tl  0.2500  0.2864  0.0987  4 La 3.21-3.26, 1 Ba 3.56
Tl  0.2500  0.7864  0.4013  4 La 3.21-3.26, 1 Ba 3.56
Tl  0.7500  0.7136  0.9013  4 La 3.21-3.26, 1 Ba 3.56
Ba  0.7500  0.9858  0.1802  5 Tl 3.56-3.85, 2 La 3.79
Ba  0.2500  0.5142  0.6802  5 Tl 3.56-3.85, 2 La 3.79
Ba  0.2500  0.0142  0.8198  5 Tl 3.56-3.85, 2 La 3.79
Ba  0.7500  0.4858  0.3198  5 Tl 3.56-3.85, 2 La 3.79
La  0.7500  0.8476  0.5854  4 Tl 3.21-3.26
La  0.2500  0.6524  0.0854  4 Tl 3.21-3.26
La  0.2500  0.1524  0.4146  4 Tl 3.21-3.26
La  0.7500  0.3476  0.9146  4 Tl 3.21-3.26

***

Computed, not measured: crystalline BaLaTl2 at its relaxed geometry at the GGA-PBEsol level of DFT.

Calculated volume in Å³ per cell: 128
Crystal system: orthorhombic
E_form in eV per atom: -0.3957

Unit cell a=3.9373 b=5.5152 c=5.9160 alpha=90.00 beta=90.01 gamma=90.00
Last column: nearest neighbours and their distance in Å.
Sites, in units of the cell vectors:
Tl  0.8749  0.0000  0.9330  4 La 3.44, 2 Tl 3.52, 4 Ba 3.53-3.58
Tl  0.8752  0.5000  0.3027  4 La 3.39-3.72, 4 Ba 3.47, 2 Tl 3.52
Ba  0.3751  0.0000  0.4278  8 Tl 3.47-3.58, 2 La 3.67
La  0.3749  0.5000  0.8365  8 Tl 3.39-3.72, 2 Ba 3.67

***

no.,E_tot (eV/atom)
1,-3.2407
2,-3.3361
3,-3.5960
4,-3.4235
5,-3.6966
6,-3.5846